[1]
A plane-wave DFT calculation with PBE-GGA was carried out for crystalline NdPuAg4 at its relaxed geometry.

a = 6.4408 Å, b = 16.9040 Å, c = 4.8995 Å
α = 90.00°, β = 90.00°, γ = 90.00°
Space group Cmcm (No. 63)
Asymmetric unit:
Nd: 0.0000 0.1219 0.2500 [4 per cell]
Pu: 0.0000 0.3727 0.7500 [4 per cell]
Ag: 0.2327 0.4583 0.2500 [8 per cell]
Ag: 0.2438 0.2914 0.2500 [8 per cell]

Output
- DOS(E_F) (states/eV/f.u.) = 10.45
- energy above the most stable polymorph in this dataset (meV/atom) = 328
- ΔE_f (eV/f.u.) = 1.70


[2]
A plane-wave DFT calculation with PBE-GGA was carried out for crystalline Ca3Sm2TaN6 at its relaxed geometry.

a = 5.9856 Å, b = 10.3791 Å, c = 6.0148 Å
α = 90.00°, β = 109.43°, γ = 90.00°
Space group C2/m (No. 12)
Asymmetric unit:
Ca: 0.0000 0.0000 0.0000 [2 per cell]
Ca: 0.0000 0.3384 0.0000 [4 per cell]
Sm: 0.0000 0.1668 0.5000 [4 per cell]
Ta: 0.0000 0.5000 0.5000 [2 per cell]
N: 0.2233 0.3509 0.7231 [8 per cell]
N: 0.2253 0.5000 0.2817 [4 per cell]

Output
- DOS(E_F) (states/eV/f.u.) = 10.48
- ΔE_f (raw) (eV/atom) = -1.17


[3]
A plane-wave DFT calculation with PBE-GGA was carried out for crystalline CdSnTeH2 at its relaxed geometry.

a = 4.0754 Å, b = 4.0754 Å, c = 6.0713 Å
α = 90.00°, β = 90.00°, γ = 90.00°
Space group P4/mmm (No. 123)
Asymmetric unit:
Cd: 0.0000 0.0000 0.0000 [1 per cell]
Sn: 0.0000 0.0000 0.5000 [1 per cell]
Te: 0.5000 0.5000 0.0000 [1 per cell]
H: 0.0000 0.5000 0.5000 [2 per cell]

Output
- DOS(E_F) (states/eV/f.u.) = 1.62
- final energy (eV per cell) = -13.70


[4]
A plane-wave DFT calculation with PBE-GGA was carried out for crystalline KTlZnCl6 at its relaxed geometry.

a = 6.6506 Å, b = 6.6506 Å, c = 7.0109 Å
α = 90.00°, β = 90.00°, γ = 120.00°
Space group P312 (No. 149)
Asymmetric unit:
K: 0.0000 0.0000 0.0000 [1 per cell]
Tl: 0.6667 0.3333 0.5000 [1 per cell]
Zn: 0.3333 0.6667 0.5000 [1 per cell]
Cl: 0.0161 0.3799 0.2898 [6 per cell]

Output
- DOS(E_F) (states/eV/f.u.) = 0.00
- ΔE_f (raw) (eV/atom) = -1.11


[5]
A plane-wave DFT calculation with PBE-GGA was carried out for crystalline Ba2TaI at its relaxed geometry.

a = 9.0767 Å, b = 9.0767 Å, c = 8.6496 Å
α = 90.00°, β = 90.00°, γ = 90.00°
Space group I-42d (No. 122)
Asymmetric unit:
Ba: 0.2365 0.2500 0.1250 [8 per cell]
Ta: 0.0000 0.0000 0.0000 [4 per cell]
I: 0.0000 0.0000 0.5000 [4 per cell]

Output
- DOS(E_F) (states/eV/f.u.) = 2.35
- ΔE_f (raw) (eV/atom) = 0.64
- energy above the most stable polymorph in this dataset (meV/atom) = 123


[6]
A plane-wave DFT calculation with PBE-GGA was carried out for crystalline RbCr2CuCl8 at its relaxed geometry.

a = 6.4396 Å, b = 7.1760 Å, c = 8.1310 Å
α = 72.15°, β = 70.26°, γ = 87.69°
Space group P-1 (No. 2)
Asymmetric unit:
Rb: 0.0000 0.0000 0.0000 [1 per cell]
Cr: 0.0257 0.7447 0.5070 [2 per cell]
Cu: 0.0000 0.5000 0.0000 [1 per cell]
Cl: 0.1955 0.3566 0.1619 [2 per cell]
Cl: 0.1985 0.4418 0.5759 [2 per cell]
Cl: 0.2034 0.9934 0.5669 [2 per cell]
Cl: 0.2991 0.8264 0.2277 [2 per cell]

Output
- ΔE_f (raw) (eV/atom) = -1.06


[7]
A plane-wave DFT calculation with PBE-GGA was carried out for crystalline LiNd2Au4 at its relaxed geometry.

a = 4.6579 Å, b = 4.6579 Å, c = 15.2635 Å
α = 90.00°, β = 90.00°, γ = 90.00°
Space group I4/mmm (No. 139)
Asymmetric unit:
Li: 0.0000 0.0000 0.0000 [2 per cell]
Nd: 0.0000 0.0000 0.3577 [4 per cell]
Au: 0.0000 0.0000 0.1630 [4 per cell]
Au: 0.0000 0.5000 0.0000 [4 per cell]

Output
- DOS(E_F) (states/eV/f.u.) = 4.27
- energy above the most stable polymorph in this dataset (meV/atom) = 127
- ΔE_f (eV/f.u.) = -3.64


[8]
A plane-wave DFT calculation with PBE-GGA was carried out for crystalline TlCoCl2 at its relaxed geometry.

a = 3.6637 Å, b = 6.3961 Å, c = 8.8560 Å
α = 90.00°, β = 90.00°, γ = 90.00°
Space group Cmm2 (No. 35)
Asymmetric unit:
Tl: 0.0000 0.0000 0.0000 [2 per cell]
Co: 0.0000 0.5000 0.2428 [2 per cell]
Cl: 0.0000 0.0000 0.3903 [2 per cell]
Cl: 0.0000 0.5000 0.7778 [2 per cell]

Output
- DOS(E_F) (states/eV/f.u.) = 3.94
- ΔE_f (raw) (eV/atom) = -0.13
- energy above the most stable polymorph in this dataset (meV/atom) = 313


[9]
A plane-wave DFT calculation with PBE-GGA was carried out for crystalline PmY3Au4 at its relaxed geometry.

a = 5.1259 Å, b = 5.1259 Å, c = 25.2594 Å
α = 90.00°, β = 90.00°, γ = 120.00°
Space group R-3m (No. 166, hexagonal axes)
Asymmetric unit:
Pm: 0.0000 0.0000 0.0000 [3 per cell]
Y: 0.0000 0.0000 0.2494 [6 per cell]
Y: 0.0000 0.0000 0.5000 [3 per cell]
Au: 0.0000 0.0000 0.1268 [6 per cell]
Au: 0.0000 0.0000 0.3778 [6 per cell]

Output
- DOS(E_F) (states/eV/f.u.) = 4.29
- ΔE_f (eV/f.u.) = -6.70


[10]
A plane-wave DFT calculation with PBE-GGA was carried out for crystalline RbAsS3 at its relaxed geometry.

a = 7.4511 Å, b = 6.8906 Å, c = 14.0779 Å
α = 90.00°, β = 118.70°, γ = 90.00°
Space group P2_1/c (No. 14)
Asymmetric unit:
Rb: 0.2504 0.1901 0.1548 [4 per cell]
As: 0.3536 0.6746 0.9921 [4 per cell]
S: 0.2360 0.6262 0.3619 [4 per cell]
S: 0.2625 0.7004 0.1140 [4 per cell]
S: 0.2959 0.1424 0.4304 [4 per cell]

Output
- ΔE_f (raw) (eV/atom) = -0.47


[11]
A plane-wave DFT calculation with PBE-GGA was carried out for crystalline ZrMn3Zn9 at its relaxed geometry.

a = 5.2174 Å, b = 12.3441 Å, c = 6.5754 Å
α = 90.00°, β = 111.88°, γ = 90.00°
Space group C2/m (No. 12)
Asymmetric unit:
Zr: 0.0000 0.0000 0.0000 [2 per cell]
Mn: 0.0000 0.0000 0.5000 [2 per cell]
Mn: 0.2500 0.2500 0.0000 [4 per cell]
Zn: 0.0000 0.5000 0.5000 [2 per cell]
Zn: 0.1075 0.3928 0.2131 [8 per cell]
Zn: 0.1561 0.1732 0.3401 [8 per cell]

Output
- DOS(E_F) (states/eV/f.u.) = 7.75
- ΔE_f (eV/f.u.) = -0.25


[12]
A plane-wave DFT calculation with PBE-GGA was carried out for crystalline PmSm4Dy2Ho at its relaxed geometry.

a = 6.2216 Å, b = 3.6016 Å, c = 11.9176 Å
α = 90.00°, β = 100.17°, γ = 90.00°
Space group P2/m (No. 10)
Asymmetric unit:
Pm: 0.0000 0.0000 0.0000 [1 per cell]
Sm: 0.2505 0.0000 0.7485 [2 per cell]
Sm: 0.2502 0.5000 0.2521 [2 per cell]
Dy: 0.5000 0.0000 0.5000 [1 per cell]
Dy: 0.5000 0.5000 0.0000 [1 per cell]
Ho: 0.0000 0.5000 0.5000 [1 per cell]

Output
- DOS(E_F) (states/eV/f.u.) = 11.17
- ΔE_f (eV/f.u.) = 0.14


Q: Which formula does entry 6 have?
A: RbCr2CuCl8